! YMg2Ta2, optimized geometry, DFT GGA-PBE; values from VASP
&SYSTEM
  ibrav = 0, nat = 5, ntyp = 3
/
ATOMIC_SPECIES
Y 88.91 Y.upf
Mg 24.30 Mg.upf
Ta 180.95 Ta.upf
CELL_PARAMETERS angstrom
-1.9670 1.9670 7.3204
1.9670 -1.9670 7.3204
1.9670 1.9670 -7.3204
ATOMIC_POSITIONS angstrom
Y 0.0000 0.0000 0.0000
Mg 0.0000 0.0000 5.8319
Mg 0.0000 0.0000 8.8088
Ta 1.9670 0.0000 3.6602
Ta 0.0000 1.9670 3.6602
! formation energy = 0.470 eV per atom
! total magnetic moment = 0.0 μB/cell
! DOS(E_F) = 6.75 states/eV/cell